CdReTc2 | PBE | relaxed

Its formation energy is 460 meV/atom. Its density of states at the Fermi level is 0.9597 states/eV/atom. Its total energy is -8.064 eV/atom.

The space group is Imm2 (No. 44) and the conventional cell measures 3.0373, 4.5861 and 9.1804 Å, with angles of 90.00, 90.00 and 90.00 degrees. The asymmetric unit holds Cd at (0.0000, 0.0000, 0.0000), Re at (0.0000, 0.5000, 0.7688), Tc at (0.0000, 0.0000, 0.4971) and Tc at (0.0000, 0.5000, 0.2323).

***

Cd2ReTc | PBE | relaxed

Its formation energy is 624 meV/atom. Its density of states at the Fermi level is 0.8551 states/eV/atom. Its total energy is -5.537 eV/atom.

The space group is C2/m (No. 12) and the conventional cell measures 5.4971, 9.6236 and 2.7480 Å, with angles of 90.00, 109.15 and 90.00 degrees. The asymmetric unit holds Cd at (0.2500, 0.2500, 0.0000), Re at (0.0000, 0.0000, 0.5000) and Tc at (0.0000, 0.5000, 0.5000).

***

Cd2ReTc | PBE | relaxed

Its formation energy is 616 meV/atom. Its density of states at the Fermi level is 0.6670 states/eV/atom. Its total energy is -5.546 eV/atom.

The space group is Cmmm (No. 65) and the conventional cell measures 3.1728, 4.4932 and 9.6311 Å, with angles of 90.00, 90.00 and 90.00 degrees. The asymmetric unit holds Cd at (0.0000, 0.0000, 0.2476), Re at (0.0000, 0.5000, 0.5000) and Tc at (0.0000, 0.5000, 0.0000).

***

CdReTc2 | PBE | relaxed

Its formation energy is 204 meV/atom. Its density of states at the Fermi level is 0.9470 states/eV/atom. Its total energy is -8.320 eV/atom.

The space group is R-3m (No. 166, hexagonal axes) and the conventional cell measures 2.8060, 2.8060 and 28.0458 Å, with angles of 90.00, 90.00 and 120.00 degrees. The asymmetric unit holds Cd at (0.0000, 0.0000, 0.0000), Re at (0.0000, 0.0000, 0.5000) and Tc at (0.0000, 0.0000, 0.2438).

***

CdReTc2 | PBE | relaxed

Its formation energy is 826 meV/atom. Its density of states at the Fermi level is 1.7767 states/eV/atom. Its total energy is -7.698 eV/atom.

The space group is I-42d (No. 122) and the conventional cell measures 7.3163, 7.3163 and 5.4649 Å, with angles of 90.00, 90.00 and 90.00 degrees. The asymmetric unit holds Cd at (0.0000, 0.0000, 0.0000), Re at (0.0000, 0.0000, 0.5000) and Tc at (0.1961, 0.7500, 0.6250).

***

CdReTc2 | PBE | relaxed

Its formation energy is 699 meV/atom. Its density of states at the Fermi level is 1.2870 states/eV/atom. Its total energy is -7.825 eV/atom.

The space group is Pmmm (No. 47) and the conventional cell measures 2.9401, 4.6191 and 4.6836 Å, with angles of 90.00, 90.00 and 90.00 degrees. The asymmetric unit holds Cd at (0.0000, 0.0000, 0.0000), Re at (0.5000, 0.0000, 0.5000), Tc at (0.0000, 0.5000, 0.5000) and Tc at (0.5000, 0.5000, 0.0000).

***

CdRe2Tc | PBE | relaxed

Its formation energy is 442 meV/atom. Its density of states at the Fermi level is 0.8893 states/eV/atom. Its total energy is -8.602 eV/atom.

The space group is Cmmm (No. 65) and the conventional cell measures 2.9560, 4.5928 and 9.5233 Å, with angles of 90.00, 90.00 and 90.00 degrees. The asymmetric unit holds Cd at (0.0000, 0.0000, 0.0000), Re at (0.0000, 0.5000, 0.2688) and Tc at (0.0000, 0.0000, 0.5000).

***

CdRe2Tc | PBE | relaxed

Its formation energy is 357 meV/atom. Its density of states at the Fermi level is 0.5995 states/eV/atom. Its total energy is -8.687 eV/atom.

The space group is P4/mmm (No. 123) and the conventional cell measures 2.8053, 2.8053 and 8.1665 Å, with angles of 90.00, 90.00 and 90.00 degrees. The asymmetric unit holds Cd at (0.0000, 0.0000, 0.0000), Re at (0.5000, 0.5000, 0.2753) and Tc at (0.0000, 0.0000, 0.5000).

***

- Among the records above, which one has the lowest formation energy?
  number 4